KFeAgF6 | PBE+U | relaxed

Values from the calculation:
The calculation puts the total energy at -4.44 eV per atom.

```
data_KFeAgF6
_chemical_formula_sum 'K2 Fe2 Ag2 F12'
_space_group_name_H-M_alt 'C 1 2 1'
_space_group_IT_number 5
_space_group_name_Hall 'C 2y'
_cell_length_a 5.8657
_cell_length_b 9.6277
_cell_length_c 5.5634
_cell_angle_alpha 90.00
_cell_angle_beta 91.72
_cell_angle_gamma 90.00
loop_
_atom_site_label
_atom_site_type_symbol
_atom_site_fract_x
_atom_site_fract_y
_atom_site_fract_z
K1 K 0.0000 0.0000 0.0000
Fe1 Fe 0.0000 0.3332 0.5000
Ag1 Ag 0.0000 0.6699 0.5000
F1 F 0.1248 0.4916 0.7002
F2 F 0.1382 0.2038 0.7180
F3 F 0.2078 0.8288 0.6801
```